! La4YHo (PBE-GGA, optimized geometry); values from VASP
&SYSTEM
  ibrav = 0, nat = 6, ntyp = 3
/
ATOMIC_SPECIES
La 138.91 La.upf
Y 88.91 Y.upf
Ho 164.93 Ho.upf
CELL_PARAMETERS angstrom
-0.961 3.278 0.986
-8.004 -2.448 0.332
1.003 -2.123 8.041
ATOMIC_POSITIONS angstrom
La -1.819 -0.569 6.530
La -6.296 -0.206 7.366
La -1.665 -1.087 1.992
La -6.143 -0.724 2.829
Y -3.501 -2.285 4.187
Ho -0.480 1.639 0.493
! **Energy relative to the elements**: 541.7 meV/atom
! **ΔE to the lowest computed polymorph**: 481 meV per atom
! **DOS at the Fermi energy**: 1.817 states/eV/atom